Run 1
A plane-wave DFT calculation with PBE-GGA was carried out for a relaxed MgScCoSb crystal.

a = 4.650 Å, b = 4.650 Å, c = 4.650 Å
α = 60.00°, β = 60.00°, γ = 60.00°
Positions (direct):
Mg1 0.000 0.000 0.000
Sc1 0.750 0.750 0.750
Co1 0.250 0.250 0.250
Sb1 0.500 0.500 0.500

Calculated values
Space group: F-43m (216)
Mass density: 5.8 g/cm3

=====

Run 2
A plane-wave DFT calculation with PBE-GGA was carried out for a relaxed MgScCoSb crystal.

a = 4.706 Å, b = 4.706 Å, c = 4.706 Å
α = 60.00°, β = 60.00°, γ = 60.00°
Positions (direct):
Mg1 0.000 0.000 0.000
Sc1 0.500 0.500 0.500
Co1 0.250 0.250 0.250
Sb1 0.750 0.750 0.750

Calculated values
Space group: F-43m (216)
Mass density: 5.6 g/cm3

=====

run 2 is preferred energetically. Next in line: 57 meV per atom higher.

=====

Run 1
A plane-wave DFT calculation with PBE-GGA was carried out for a relaxed MgCoSbW crystal.

a = 4.494 Å, b = 4.494 Å, c = 4.494 Å
α = 60.00°, β = 60.00°, γ = 60.00°
Positions (direct):
Mg1 0.000 0.000 0.000
Co1 0.750 0.750 0.750
Sb1 0.500 0.500 0.500
W1 0.250 0.250 0.250

Calculated values
Space group: F-43m (216)
Mass density: 10.1 g/cm3

=====

Run 2
A plane-wave DFT calculation with PBE-GGA was carried out for a relaxed MgCoSbW crystal.

a = 4.546 Å, b = 4.546 Å, c = 4.546 Å
α = 60.00°, β = 60.00°, γ = 60.00°
Positions (direct):
Mg1 0.000 0.000 0.000
Co1 0.500 0.500 0.500
Sb1 0.250 0.250 0.250
W1 0.750 0.750 0.750

Calculated values
Space group: F-43m (216)
Mass density: 9.7 g/cm3

=====

run 1 is preferred energetically. Next in line: 199 meV per atom higher.

=====

Run 1
A plane-wave DFT calculation with PBE-GGA was carried out for a relaxed YMgCoSb crystal.

a = 4.786 Å, b = 4.786 Å, c = 4.786 Å
α = 60.00°, β = 60.00°, γ = 60.00°
Positions (direct):
Y1 0.000 0.000 0.000
Mg1 0.250 0.250 0.250
Co1 0.750 0.750 0.750
Sb1 0.500 0.500 0.500

Calculated values
Space group: F-43m (216)
Mass density: 6.3 g/cm3

=====

Run 2
A plane-wave DFT calculation with PBE-GGA was carried out for a relaxed YMgCoSb crystal.

a = 4.842 Å, b = 4.842 Å, c = 4.842 Å
α = 60.00°, β = 60.00°, γ = 60.00°
Positions (direct):
Y1 0.000 0.000 0.000
Mg1 0.750 0.750 0.750
Co1 0.500 0.500 0.500
Sb1 0.250 0.250 0.250

Calculated values
Space group: F-43m (216)
Mass density: 6.1 g/cm3

=====

run 1 is preferred energetically. Next in line: 85 meV per atom higher.

=====

Run 1
A plane-wave DFT calculation with PBE-GGA was carried out for a relaxed MgScCoSi crystal.

a = 4.458 Å, b = 4.458 Å, c = 4.458 Å
α = 60.00°, β = 60.00°, γ = 60.00°
Positions (direct):
Mg1 0.000 0.000 0.000
Sc1 0.500 0.500 0.500
Co1 0.750 0.750 0.750
Si1 0.250 0.250 0.250

Calculated values
Space group: F-43m (216)
Mass density: 4.1 g/cm3

=====

Run 2
A plane-wave DFT calculation with PBE-GGA was carried out for a relaxed MgScCoSi crystal.

a = 4.348 Å, b = 4.348 Å, c = 4.348 Å
α = 60.00°, β = 60.00°, γ = 60.00°
Positions (direct):
Mg1 0.000 0.000 0.000
Sc1 0.750 0.750 0.750
Co1 0.500 0.500 0.500
Si1 0.250 0.250 0.250

Calculated values
Space group: F-43m (216)
Mass density: 4.5 g/cm3

=====

run 2 is preferred energetically. Next in line: 60 meV per atom higher.

=====

Run 1
A plane-wave DFT calculation with PBE-GGA was carried out for a relaxed MgScTlCo crystal.

a = 4.666 Å, b = 4.666 Å, c = 4.666 Å
α = 60.00°, β = 60.00°, γ = 60.00°
Positions (direct):
Mg1 0.000 0.000 0.000
Sc1 0.750 0.750 0.750
Tl1 0.250 0.250 0.250
Co1 0.500 0.500 0.500

Calculated values
Space group: F-43m (216)
Mass density: 7.7 g/cm3

=====

Run 2
A plane-wave DFT calculation with PBE-GGA was carried out for a relaxed MgScTlCo crystal.

a = 4.673 Å, b = 4.673 Å, c = 4.673 Å
α = 60.00°, β = 60.00°, γ = 60.00°
Positions (direct):
Mg1 0.000 0.000 0.000
Sc1 0.250 0.250 0.250
Tl1 0.500 0.500 0.500
Co1 0.750 0.750 0.750

Calculated values
Space group: F-43m (216)
Mass density: 7.7 g/cm3

=====

run 1 is preferred energetically. Next in line: 20 meV per atom higher.

=====

Run 1
A plane-wave DFT calculation with PBE-GGA was carried out for a relaxed MgTaCoSi crystal.

a = 4.341 Å, b = 4.341 Å, c = 4.341 Å
α = 60.00°, β = 60.00°, γ = 60.00°
Positions (direct):
Mg1 0.000 0.000 0.000
Ta1 0.250 0.250 0.250
Co1 0.750 0.750 0.750
Si1 0.500 0.500 0.500

Calculated values
Space group: F-43m (216)
Mass density: 8.4 g/cm3

=====

Run 2
A plane-wave DFT calculation with PBE-GGA was carried out for a relaxed MgTaCoSi crystal.

a = 4.330 Å, b = 4.330 Å, c = 4.330 Å
α = 60.00°, β = 60.00°, γ = 60.00°
Positions (direct):
Mg1 0.000 0.000 0.000
Ta1 0.750 0.750 0.750
Co1 0.500 0.500 0.500
Si1 0.250 0.250 0.250

Calculated values
Space group: F-43m (216)
Mass density: 8.5 g/cm3

=====

run 1 is preferred energetically. Next in line: 48 meV per atom higher.